# 1
{
  "formula": "Cs2KMg2H7",
  "functional": "PBE",
  "state": "relaxed",
  "lattice_angstrom": [[-1.2869, 3.9539, -0.3584], [-3.9660, -1.2633, 0.3042], [-2.1526, 2.5438, 11.3266]],
  "species": ["H", "H", "H", "H", "H", "H", "Mg", "Cs", "Mg", "Cs", "H", "K"],
  "frac_coords": [[0.3273, 0.3273, 0.3423], [0.4134, 0.9135, 0.1712], [0.6727, 0.6727, 0.6577], [0.0865, 0.5866, 0.8288], [0.9135, 0.4134, 0.1712], [0.5866, 0.0865, 0.8288], [0.5862, 0.5862, 0.8286], [0.1834, 0.1834, 0.6362], [0.4138, 0.4138, 0.1714], [0.8166, 0.8166, 0.3638], [0.5000, 0.5000, 0.0000], [0.0000, 0.0000, 0.0000]],
  "energy_ev_per_atom": -2.704,
  "spacegroup": "C2/m"
}

=====

# 2
{
  "formula": "CeTl2As2Pd7",
  "functional": "PBE",
  "state": "relaxed",
  "lattice_angstrom": [[4.0812, -0.0048, -0.1131], [0.0002, 4.0812, -0.1131], [1.5467, 1.5448, 14.5235]],
  "species": ["Tl", "Pd", "As", "Pd", "Ce", "Pd", "Pd", "Pd", "Pd", "Tl", "Pd", "As"],
  "frac_coords": [[0.8964, 0.8964, 0.4007], [0.9567, 0.4576, 0.1473], [0.5713, 0.5713, 0.7526], [0.5000, 0.5000, 0.0000], [0.0000, 0.0000, 0.0000], [0.0433, 0.5424, 0.8527], [0.4576, 0.9567, 0.1473], [0.5996, 0.5996, 0.5846], [0.5424, 0.0433, 0.8527], [0.1036, 0.1036, 0.5993], [0.4004, 0.4004, 0.4154], [0.4287, 0.4287, 0.2474]],
  "ef_mev_per_atom": -395,
  "spacegroup": "C2/m"
}